# 1
The following is a PBE-GGA calculation of an optimized crystal structure of Sr2CaI, from the Alexandria database.

```
4
Lattice="4.0828 0.0000 0.0000 0.0000 4.0828 0.0000 0.0000 0.0000 10.5554" Properties=species:S:1:pos:R:3 pbc="T T T"
Sr 0.0000 0.0000 2.4131
Sr 0.0000 0.0000 8.1423
Ca 2.0414 2.0414 5.2777
I 2.0414 2.0414 0.0000
```

As for the formation energy (no corrections): -0.53 eV/atom. As for the space group: P4/mmm.



# 2
The following is a PBE-GGA calculation of an optimized crystal structure of Pm6SbS5, from the Alexandria database.

```
12
Lattice="3.5592 -6.1711 0.0000 3.5592 6.1711 0.0000 -2.3852 0.0000 6.7476" Properties=species:S:1:pos:R:3 pbc="T T T"
Pm 1.1298 2.1434 1.5889
Pm -0.1133 0.0000 5.1367
Pm 1.1298 -2.1434 1.5889
Pm 3.6034 2.1434 5.1587
Pm 4.8465 0.0000 1.6109
Pm 3.6034 -2.1434 5.1587
Sb 2.3666 0.0000 3.3738
S 0.0000 0.0000 0.0000
S 2.3666 4.1018 3.3738
S 3.5592 1.9742 0.0000
S 3.5592 -1.9742 0.0000
S 2.3666 -4.1018 3.3738
```

As for the formation energy (no corrections): -1.86 eV/atom. As for the space group: C2/m.



# 3
The following is a PBE-GGA calculation of an optimized crystal structure of GaReSbI2, from the Alexandria database.

```
5
Lattice="5.5108 0.0000 0.0000 0.0000 5.5108 0.0000 0.0000 0.0000 5.5681" Properties=species:S:1:pos:R:3 pbc="T T T"
Ga 0.0000 0.0000 0.0000
Re 2.7554 2.7554 2.7841
Sb 0.0000 0.0000 2.7841
I 0.0000 2.7554 0.0000
I 2.7554 0.0000 0.0000
```

As for the formation energy (no corrections): 1.36 eV/atom. As for the space group: P4/mmm.



# 4
The following is a PBE-GGA calculation of an optimized crystal structure of AcCu2Sn5, from the Alexandria database.

```
8
Lattice="-2.1692 4.2895 5.4402 2.1692 -4.2895 5.4402 2.1692 4.2895 -5.4402" Properties=species:S:1:pos:R:3 pbc="T T T"
Ac 0.0000 0.0000 0.0000
Cu 2.1692 0.0000 2.6590
Cu 0.0000 4.2895 2.7812
Sn 2.1692 2.5250 -1.6872
Sn 2.1692 2.5250 1.6872
Sn 0.0000 4.2895 0.0000
Sn 0.0000 1.7645 3.7530
Sn 0.0000 1.7645 7.1275
```

The value obtained for the formation energy is -0.131 eV per atom. As for the space group: Immm.



# 5
The following is a PBE-GGA calculation of an optimized crystal structure of BeAlNiIr, from the Alexandria database.

```
4
Lattice="0.0000 2.8580 2.8580 2.8580 0.0000 2.8580 2.8580 2.8580 0.0000" Properties=species:S:1:pos:R:3 pbc="T T T"
Be 0.0000 0.0000 0.0000
Al 2.8580 2.8580 2.8580
Ni 1.4290 1.4290 1.4290
Ir 4.2871 4.2871 4.2871
```

The value obtained for the formation energy is -0.646 eV per atom. As for the space group: F-43m.



# 6
The following is a PBE-GGA calculation of an optimized crystal structure of K2GeN, from the Alexandria database.

```
4
Lattice="0.0000 3.6934 3.6934 3.6934 0.0000 3.6934 3.6934 3.6934 0.0000" Properties=species:S:1:pos:R:3 pbc="T T T"
K 1.8467 1.8467 1.8467
K 5.5401 5.5401 5.5401
Ge 0.0000 0.0000 0.0000
N 3.6934 3.6934 3.6934
```

As for the formation energy (no corrections): 1.14 eV/atom. As for the space group: Fm-3m.



# 7
The following is a PBE-GGA calculation of an optimized crystal structure of Na2CdH, from the Alexandria database.

```
4
Lattice="0.0000 3.6072 3.6072 3.6072 0.0000 3.6072 3.6072 3.6072 0.0000" Properties=species:S:1:pos:R:3 pbc="T T T"
Na 1.8036 1.8036 1.8036
Na 5.4108 5.4108 5.4108
Cd 0.0000 0.0000 0.0000
H 3.6072 3.6072 3.6072
```

As for the space group: Fm-3m. The uncorrected energy is -1.47 eV per atom.



# 8
The following is a PBE-GGA calculation of an optimized crystal structure of Zr2MoRh, from the Alexandria database.

```
4
Lattice="-1.9630 1.9630 4.8279 1.9630 -1.9630 4.8279 1.9630 1.9630 -4.8279" Properties=species:S:1:pos:R:3 pbc="T T T"
Zr 0.0000 0.0000 0.0000
Zr 0.0000 1.9630 2.4139
Mo 1.9630 0.0000 2.4139
Rh 0.0000 0.0000 4.8279
```

The value obtained for the formation energy is -0.193 eV per atom. As for the space group: I-4m2.



# 9
The following is a PBE-GGA calculation of an optimized crystal structure of Sc2AgPb, from the Alexandria database.

```
4
Lattice="3.7733 0.0000 0.0000 0.0000 3.7733 0.0000 0.0000 0.0000 6.4989" Properties=species:S:1:pos:R:3 pbc="T T T"
Sc 0.0000 0.0000 0.0000
Sc 1.8866 1.8866 1.7546
Ag 0.0000 0.0000 3.1013
Pb 1.8866 1.8866 4.8699
```

The value obtained for the formation energy is -0.148 eV per atom. As for the space group: P4mm.



# 10
The following is a PBE-GGA calculation of an optimized crystal structure of Dy3Tl4CrS8, from the Alexandria database.

```
16
Lattice="3.9278 2.2677 7.5129 -3.9278 2.2677 7.5129 0.0000 -4.5355 7.5129" Properties=species:S:1:pos:R:3 pbc="T T T"
Dy -1.9639 -1.1339 7.5129
Dy -1.9639 1.1339 15.0258
Dy 0.0000 2.2677 7.5129
Tl -3.9278 0.0000 11.2694
Tl -1.9639 1.1339 3.7565
Tl 1.9639 1.1339 3.7565
Tl 0.0000 0.0000 11.2694
Cr 0.0000 0.0000 0.0000
S 0.0000 -2.4300 8.9327
S -2.1045 1.2150 8.9327
S -2.1045 -1.2150 13.6061
S 0.0000 0.0000 6.0021
S 0.0000 0.0000 16.5367
S 2.1045 1.2150 8.9327
S 2.1045 -1.2150 13.6061
S 0.0000 2.4300 13.6061
```

As for the formation energy (no corrections): -1.21 eV/atom. As for the space group: R-3m.



# 11
The following is a PBE-GGA calculation of an optimized crystal structure of CaGeS2Cl, from the Alexandria database.

```
5
Lattice="4.8366 0.0000 0.0000 0.0000 4.8366 0.0000 0.0000 0.0000 4.8845" Properties=species:S:1:pos:R:3 pbc="T T T"
Ca 0.0000 0.0000 0.0000
Ge 2.4183 2.4183 2.4422
S 0.0000 2.4183 2.4422
S 2.4183 0.0000 2.4422
Cl 2.4183 2.4183 0.0000
```

As for the formation energy (no corrections): -0.82 eV/atom. As for the space group: P4/mmm.



# 12
The following is a PBE-GGA calculation of an optimized crystal structure of CuHgPtO4, from the Alexandria database.

```
14
Lattice="-2.9012 3.1802 4.9763 2.9012 -3.1802 4.9763 2.9012 3.1802 -4.9763" Properties=species:S:1:pos:R:3 pbc="T T T"
Cu -1.4506 1.5901 2.4881
Cu 1.4506 1.5901 2.4881
Hg 2.9012 1.5901 -1.6689
Hg 0.0000 1.5901 6.6452
Pt 0.0000 0.0000 0.0000
Pt 0.0000 3.1802 0.0000
O 1.2944 1.5901 -0.0382
O 1.6067 -1.5901 4.9381
O 0.0000 0.3043 2.0205
O 2.9012 0.3043 2.9558
O 0.0000 2.8759 2.0205
O 2.9012 2.8759 2.9558
O 1.2944 4.7703 0.0382
O 1.6067 1.5901 5.0145
```

As for the formation energy (no corrections): -0.46 eV/atom. As for the space group: Imma.